Material: CaCrI2O
Method: DFT, SCAN
State: PBEsol geometry

Unit cell a=5.718 b=5.718 c=3.688 alpha=90.00 beta=90.00 gamma=90.00
Fractional coordinates of all 5 atoms:
Ca 0.000 0.000 0.000
Cr 0.500 0.500 0.500
I 0.000 0.500 0.500
I 0.500 0.000 0.500
O 0.500 0.500 0.000

Computed properties:
Formation energy from raw total energies, kJ/mol of formula units: -576